P:
Computed, not measured: a relaxed structure of Ba2TiNi2 at the GGA-PBE level of DFT.

Space-group type: P4/mbm (127)

Lattice parameters (Å, degrees): 8.7288 8.7288 3.3929 90.00 90.00 90.00
Closest atoms and distances in Å follow each position.
Fractional positions:
Ni 0.1699 0.6699 0.5000  6 Ba 2.90-3.20
Ni 0.6699 0.8301 0.5000  6 Ba 2.90-3.20
Ni 0.8301 0.3301 0.5000  6 Ba 2.90-3.20
Ni 0.3301 0.1699 0.5000  6 Ba 2.90-3.20
Ba 0.3602 0.8602 0.0000  6 Ni 2.90-3.20
Ba 0.8602 0.6398 0.0000  6 Ni 2.90-3.20
Ba 0.6398 0.1398 0.0000  6 Ni 2.90-3.20
Ba 0.1398 0.3602 0.0000  6 Ni 2.90-3.20
Ti 0.0000 0.0000 0.0000  4 Ba 3.37, 2 Ti 3.39, 8 Ni 3.66
Ti 0.5000 0.5000 0.0000  4 Ba 3.37, 2 Ti 3.39, 8 Ni 3.66

---

Q:
Computed, not measured: a relaxed structure of Ba2TiNi2 at the GGA-PBE level of DFT.

Space-group type: I4/mmm (139)

Lattice parameters (Å, degrees): 3.4954 3.4954 11.1267 80.96 80.96 90.00
Closest atoms and distances in Å follow each position.
Fractional positions:
Ni 0.7500 0.2500 0.5000  4 Ni 2.47
Ni 0.2500 0.7500 0.5000  4 Ni 2.47
Ba 0.3692 0.3692 0.2616  4 Ni 3.12, 4 Ba 3.50
Ba 0.6308 0.6308 0.7384  4 Ni 3.12, 4 Ba 3.50
Ti 0.0000 0.0000 0.0000  4 Ti 3.50, 8 Ba 3.76

---

Which one sits at the top of the stability order? Q does.

---

P:
Computed, not measured: a relaxed structure of BaTiNi3 at the GGA-PBE level of DFT.

Space-group type: Pm-3m (221)

Lattice parameters (Å, degrees): 4.8332 4.8332 4.8332 90.00 90.00 90.00
Closest atoms and distances in Å follow each position.
Fractional positions:
Ni 0.0000 0.5000 0.0000  2 Ba 2.42
Ni 0.0000 0.0000 0.5000  2 Ba 2.42
Ni 0.5000 0.0000 0.0000  2 Ba 2.42
Ba 0.0000 0.0000 0.0000  6 Ni 2.42
Ti 0.5000 0.5000 0.5000  12 Ni 3.42

---

Q:
Computed, not measured: a relaxed structure of BaTiNi3 at the GGA-PBE level of DFT.

Space-group type: Pm-3m (221)

Lattice parameters (Å, degrees): 4.6892 4.6892 4.6892 90.00 90.00 90.00
Closest atoms and distances in Å follow each position.
Fractional positions:
Ni 0.0000 0.5000 0.0000  2 Ti 2.34
Ni 0.0000 0.0000 0.5000  2 Ti 2.34
Ni 0.5000 0.0000 0.0000  2 Ti 2.34
Ba 0.5000 0.5000 0.5000  12 Ni 3.32
Ti 0.0000 0.0000 0.0000  6 Ni 2.34

---

Which one sits at the top of the stability order? Q does.

---

P:
Computed, not measured: a relaxed structure of BaTi2Ni at the GGA-PBE level of DFT.

Space-group type: I4_1/amd (141)

Lattice parameters (Å, degrees): 5.2541 5.2541 8.9408 72.91 72.91 90.00
Closest atoms and distances in Å follow each position.
Fractional positions:
Ni 0.5000 0.5000 0.0000  4 Ti 2.42
Ni 0.2500 0.7500 0.5000  4 Ti 2.42
Ba 0.0000 0.0000 0.0000  8 Ti 3.57, 4 Ni 3.72
Ba 0.7500 0.2500 0.5000  8 Ti 3.57, 4 Ni 3.72
Ti 0.3750 0.1250 0.2500  2 Ni 2.42, 2 Ti 2.63
Ti 0.3750 0.6250 0.2500  2 Ni 2.42, 2 Ti 2.63
Ti 0.3750 0.6250 0.7500  2 Ni 2.42, 2 Ti 2.63
Ti 0.8750 0.6250 0.7500  2 Ni 2.42, 2 Ti 2.63

---

Q:
Computed, not measured: a relaxed structure of BaTi2Ni at the GGA-PBE level of DFT.

Space-group type: Fm-3m (225)

Lattice parameters (Å, degrees): 4.7425 4.7425 4.7425 60.00 60.00 60.00
Closest atoms and distances in Å follow each position.
Fractional positions:
Ni 0.0000 0.0000 0.0000  8 Ti 2.90
Ba 0.5000 0.5000 0.5000  8 Ti 2.90
Ti 0.2500 0.2500 0.2500  4 Ba 2.90, 4 Ni 2.90
Ti 0.7500 0.7500 0.7500  4 Ba 2.90, 4 Ni 2.90

---

Which one sits at the top of the stability order? P does.